[1]
# Cr2InOs

A geometry-optimized Cr2InOs structure (GGA-PBE, Alexandria via LeMat-Bulk).

Properties
energy of formation from the pure elements = 0.469 eV per atom

Lattice parameters (Å, degrees): 4.632 4.632 4.632 127.51 127.51 77.41
Fractional coordinates of all 4 atoms:
Cr1 0.250 0.750 0.500
Cr2 0.750 0.250 0.500
In1 0.000 0.000 0.000
Os1 0.500 0.500 0.000

[2]
# CrIn3Os

A geometry-optimized CrIn3Os structure (GGA-PBE, Alexandria via LeMat-Bulk).

Properties
E above lowest polymorph = 0.000 eV/atom
energy of formation from the pure elements = 0.675 eV per atom

Lattice parameters (Å, degrees): 5.167 5.167 5.167 90.00 90.00 90.00
Fractional coordinates of all 5 atoms:
Cr1 0.000 0.000 0.000
In1 0.000 0.500 0.500
In2 0.500 0.000 0.500
In3 0.500 0.500 0.000
Os1 0.500 0.500 0.500

[3]
# CrInOs2

A geometry-optimized CrInOs2 structure (GGA-PBE, Alexandria via LeMat-Bulk).

Properties
energy of formation from the pure elements = 0.350 eV per atom

Lattice parameters (Å, degrees): 4.800 4.800 4.871 102.96 102.96 34.55
Fractional coordinates of all 4 atoms:
Cr1 0.000 0.000 0.000
In1 0.500 0.500 0.500
Os1 0.271 0.271 0.787
Os2 0.729 0.729 0.213

[4]
# Cr2InOs

A geometry-optimized Cr2InOs structure (GGA-PBE, Alexandria via LeMat-Bulk).

Properties
energy of formation from the pure elements = 0.824 eV per atom

Lattice parameters (Å, degrees): 5.725 5.725 5.725 102.97 102.97 123.43
Fractional coordinates of all 8 atoms:
Cr1 0.070 0.625 0.945
Cr2 0.375 0.320 0.445
Cr3 0.680 0.125 0.055
Cr4 0.875 0.930 0.555
In1 0.250 0.750 0.500
In2 0.500 0.500 0.000
Os1 0.000 0.000 0.000
Os2 0.750 0.250 0.500

[5]
# CrInOs2

A geometry-optimized CrInOs2 structure (GGA-PBE, Alexandria via LeMat-Bulk).

Properties
energy of formation from the pure elements = 0.576 eV per atom

Lattice parameters (Å, degrees): 4.730 4.730 2.883 90.00 90.00 106.76
Fractional coordinates of all 4 atoms:
Cr1 0.000 0.000 0.000
In1 0.500 0.500 0.000
Os1 0.000 0.500 0.500
Os2 0.500 0.000 0.500

[6]
# CrInOs2

A geometry-optimized CrInOs2 structure (GGA-PBE, Alexandria via LeMat-Bulk).

Properties
energy of formation from the pure elements = 0.462 eV per atom

Lattice parameters (Å, degrees): 9.102 9.102 9.102 17.73 17.73 17.73
Fractional coordinates of all 4 atoms:
Cr1 0.000 0.000 0.000
In1 0.246 0.246 0.246
Os1 0.489 0.489 0.489
Os2 0.742 0.742 0.742

[7]
# CrInOs2

A geometry-optimized CrInOs2 structure (GGA-PBE, Alexandria via LeMat-Bulk).

Properties
energy of formation from the pure elements = 0.496 eV per atom

Lattice parameters (Å, degrees): 4.914 4.914 4.914 133.49 133.49 67.88
Fractional coordinates of all 4 atoms:
Cr1 0.000 0.000 0.000
In1 0.250 0.750 0.500
Os1 0.500 0.500 0.000
Os2 0.750 0.250 0.500

[8]
# Cr2InOs

A geometry-optimized Cr2InOs structure (GGA-PBE, Alexandria via LeMat-Bulk).

Properties
energy of formation from the pure elements = 0.333 eV per atom

Lattice parameters (Å, degrees): 5.132 5.132 5.132 145.84 128.17 63.55
Fractional coordinates of all 4 atoms:
Cr1 0.000 0.000 0.000
Cr2 0.785 0.285 0.500
In1 0.268 0.768 0.500
Os1 0.543 0.543 0.000

[9]
# Cr2InOs

A geometry-optimized Cr2InOs structure (GGA-PBE, Alexandria via LeMat-Bulk).

Properties
energy of formation from the pure elements = 0.438 eV per atom

Lattice parameters (Å, degrees): 4.768 4.768 4.730 101.39 101.39 35.52
Fractional coordinates of all 4 atoms:
Cr1 0.240 0.240 0.179
Cr2 0.760 0.760 0.821
In1 0.000 0.000 0.500
Os1 0.500 0.500 0.000

[10]
# Cr2InOs

A geometry-optimized Cr2InOs structure (GGA-PBE, Alexandria via LeMat-Bulk).

Properties
energy of formation from the pure elements = 0.375 eV per atom

Lattice parameters (Å, degrees): 4.425 4.425 4.425 60.00 60.00 60.00
Fractional coordinates of all 4 atoms:
Cr1 0.000 0.000 0.000
Cr2 0.250 0.250 0.250
In1 0.500 0.500 0.500
Os1 0.750 0.750 0.750

[11]
# CrInOs2

A geometry-optimized CrInOs2 structure (GGA-PBE, Alexandria via LeMat-Bulk).

Properties
energy of formation from the pure elements = 0.311 eV per atom

Lattice parameters (Å, degrees): 2.844 2.844 7.927 90.00 90.00 90.00
Fractional coordinates of all 4 atoms:
Cr1 0.000 0.000 0.000
In1 0.500 0.500 0.281
Os1 0.000 0.000 0.553
Os2 0.500 0.500 0.767

[12]
# Cr2InOs

A geometry-optimized Cr2InOs structure (GGA-PBE, Alexandria via LeMat-Bulk).

Properties
energy of formation from the pure elements = 0.586 eV per atom

Lattice parameters (Å, degrees): 2.724 2.724 8.648 90.00 90.00 111.79
Fractional coordinates of all 4 atoms:
Cr1 0.000 0.000 0.231
Cr2 0.000 0.000 0.769
In1 0.500 0.500 0.500
Os1 0.500 0.500 0.000